## MoPtRh2 (PBEsol)

Data for a relaxed structure of MoPtRh2.

## Properties
DOS(E_F) in states/eV per atom: 1.223
E above lowest polymorph in meV per atom: 29.7
Total energy in eV per cell: -35.9
Energy of formation in eV/atom: -0.212

```
data_MoPtRh2
_chemical_formula_sum 'Mo1 Pt1 Rh2'
_space_group_name_H-M_alt 'P 1'
_space_group_IT_number 1
_cell_length_a 3.7890
_cell_length_b 3.8657
_cell_length_c 3.8657
_cell_angle_alpha 90.00
_cell_angle_beta 90.00
_cell_angle_gamma 90.00
loop_
_space_group_symop_operation_xyz
'x,y,z'
loop_
_atom_site_label
_atom_site_fract_x
_atom_site_fract_y
_atom_site_fract_z
Pt1 0.5000 0.0000 0.0000
Rh1 0.0000 0.0000 0.5000
Mo1 0.5000 0.5000 0.5000
Rh2 0.0000 0.5000 0.0000
```

---

## Zr2RhCl (PBEsol)

Data for a relaxed structure of Zr2RhCl.

## Properties
DOS(E_F) in states/eV per atom: 0.327
E above lowest polymorph in meV per atom: 0.0
Total energy in eV per cell: -31.2

```
data_Zr2RhCl
_chemical_formula_sum 'Zr2 Rh1 Cl1'
_space_group_name_H-M_alt 'P 1'
_space_group_IT_number 1
_cell_length_a 3.4772
_cell_length_b 3.9945
_cell_length_c 7.0698
_cell_angle_alpha 82.80
_cell_angle_beta 75.76
_cell_angle_gamma 64.20
loop_
_space_group_symop_operation_xyz
'x,y,z'
loop_
_atom_site_label
_atom_site_fract_x
_atom_site_fract_y
_atom_site_fract_z
Zr1 0.2132 0.8780 0.6956
Zr2 0.7868 0.1220 0.3044
Cl1 0.5000 0.0000 0.0000
Rh1 0.0000 0.5000 0.5000
```

---

## TaTiAs2 (PBEsol)

Data for a relaxed structure of TaTiAs2.

## Properties
DOS(E_F) in states/eV per atom: 0.992
Total energy in eV per cell: -60.9
Energy of formation in eV/atom: 0.159

```
data_TaTiAs2
_chemical_formula_sum 'Ta2 Ti2 As4'
_space_group_name_H-M_alt 'P 1'
_space_group_IT_number 1
_cell_length_a 5.7207
_cell_length_b 5.7207
_cell_length_c 6.9838
_cell_angle_alpha 114.18
_cell_angle_beta 114.18
_cell_angle_gamma 90.00
loop_
_space_group_symop_operation_xyz
'x,y,z'
loop_
_atom_site_label
_atom_site_fract_x
_atom_site_fract_y
_atom_site_fract_z
As1 0.6250 0.6227 0.7500
Ti1 0.7500 0.2500 0.5000
As2 0.1250 0.1273 0.7500
As3 0.8727 0.3750 0.2500
Ta1 0.2500 0.7500 0.5000
As4 0.3773 0.8750 0.2500
Ta2 0.0000 0.0000 0.0000
Ti2 0.5000 0.5000 0.0000
```

---

## K2FeCl (PBEsol)

Data for a relaxed structure of K2FeCl.

## Properties
DOS(E_F) in states/eV per atom: 1.696
E above lowest polymorph in meV per atom: 175.4
Total energy in eV per cell: -12.5

```
data_K2FeCl
_chemical_formula_sum 'K2 Fe1 Cl1'
_space_group_name_H-M_alt 'P 1'
_space_group_IT_number 1
_cell_length_a 4.4904
_cell_length_b 4.4904
_cell_length_c 7.1372
_cell_angle_alpha 108.34
_cell_angle_beta 108.34
_cell_angle_gamma 90.00
loop_
_space_group_symop_operation_xyz
'x,y,z'
loop_
_atom_site_label
_atom_site_fract_x
_atom_site_fract_y
_atom_site_fract_z
K1 0.7500 0.2500 0.5000
Fe1 0.2500 0.7500 0.5000
K2 0.0000 0.0000 0.0000
Cl1 0.5000 0.5000 0.0000
```

---

## Cs2BeAgSe (PBEsol)

Data for a relaxed structure of Cs2BeAgSe.

## Properties
DOS(E_F) in states/eV per atom: 0.325
Total energy in eV per cell: -12.8

```
data_Cs2BeAgSe
_chemical_formula_sum 'Cs2 Be1 Ag1 Se1'
_space_group_name_H-M_alt 'P 1'
_space_group_IT_number 1
_cell_length_a 4.1705
_cell_length_b 6.6500
_cell_length_c 6.6500
_cell_angle_alpha 90.00
_cell_angle_beta 90.00
_cell_angle_gamma 90.00
loop_
_space_group_symop_operation_xyz
'x,y,z'
loop_
_atom_site_label
_atom_site_fract_x
_atom_site_fract_y
_atom_site_fract_z
Ag1 0.5000 0.5000 0.5000
Se1 0.5000 0.0000 0.0000
Be1 0.0000 0.0000 0.0000
Cs1 0.0000 0.5000 0.0000
Cs2 0.0000 0.0000 0.5000
```

---

## SrYOs2 (PBEsol)

Data for a relaxed structure of SrYOs2.

## Properties
DOS(E_F) in states/eV per atom: 1.115
E above lowest polymorph in meV per atom: 165.9
Total energy in eV per cell: -30.5
Energy of formation in eV/atom: 0.649

```
data_SrYOs2
_chemical_formula_sum 'Sr1 Y1 Os2'
_space_group_name_H-M_alt 'P 1'
_space_group_IT_number 1
_cell_length_a 3.6669
_cell_length_b 3.6669
_cell_length_c 6.7242
_cell_angle_alpha 90.00
_cell_angle_beta 90.00
_cell_angle_gamma 90.00
loop_
_space_group_symop_operation_xyz
'x,y,z'
loop_
_atom_site_label
_atom_site_fract_x
_atom_site_fract_y
_atom_site_fract_z
Os1 0.0000 0.0000 0.6877
Y1 0.5000 0.5000 0.5000
Sr1 0.5000 0.5000 0.0000
Os2 0.0000 0.0000 0.3123
```

---

## PRuAuS2 (PBEsol)

Data for a relaxed structure of PRuAuS2.

## Properties
DOS(E_F) in states/eV per atom: 0.993
Total energy in eV per cell: -25.2

```
data_PRuAuS2
_chemical_formula_sum 'P1 Ru1 Au1 S2'
_space_group_name_H-M_alt 'P 1'
_space_group_IT_number 1
_cell_length_a 4.5324
_cell_length_b 4.5185
_cell_length_c 4.5185
_cell_angle_alpha 90.00
_cell_angle_beta 90.00
_cell_angle_gamma 90.00
loop_
_space_group_symop_operation_xyz
'x,y,z'
loop_
_atom_site_label
_atom_site_fract_x
_atom_site_fract_y
_atom_site_fract_z
P1 0.5000 0.0000 0.0000
Au1 0.5000 0.5000 0.5000
S1 0.0000 0.0000 0.5000
S2 0.0000 0.5000 0.0000
Ru1 0.0000 0.0000 0.0000
```

---

## FeSnSCl2 (PBEsol)

Data for a relaxed structure of FeSnSCl2.

## Properties
DOS(E_F) in states/eV per atom: 0.923
Total energy in eV per cell: -23.3

```
data_FeSnSCl2
_chemical_formula_sum 'Fe1 Sn1 S1 Cl2'
_space_group_name_H-M_alt 'P 1'
_space_group_IT_number 1
_cell_length_a 4.6066
_cell_length_b 4.6066
_cell_length_c 4.6405
_cell_angle_alpha 90.00
_cell_angle_beta 90.00
_cell_angle_gamma 90.00
loop_
_space_group_symop_operation_xyz
'x,y,z'
loop_
_atom_site_label
_atom_site_fract_x
_atom_site_fract_y
_atom_site_fract_z
Cl1 0.0000 0.5000 0.0000
Fe1 0.0000 0.0000 0.0000
Sn1 0.5000 0.5000 0.5000
Cl2 0.5000 0.0000 0.0000
S1 0.0000 0.0000 0.5000
```